Run A
Density functional theory data (PBE) for Tm4CoBi2 after structural relaxation.

Cell and atoms, written as POSCAR:
```
Tm4CoBi2
1.0
-2.3564 1.7511 3.9623
-3.0546 -3.8700 -0.1063
7.7572 -3.0604 2.8968
Tm Co Bi
4 1 2
Direct
0.8360 0.8360 0.6719
0.1640 0.1640 0.3281
0.0000 0.5000 0.0000
0.5000 0.0000 0.0000
0.0000 0.0000 0.0000
0.6430 0.6430 0.2860
0.3570 0.3570 0.7140
```

Output
calculated density	9.70	Mg/m³
total moment	0.00	μB/cell
D(E_F)	0.886	states/eV/atom

Run B
Density functional theory data (PBE) for Tm4CoBi2 after structural relaxation.

Cell and atoms, written as POSCAR:
```
Tm4CoBi2
1.0
-1.7285 -3.8326 0.7091
4.2561 -3.0011 -5.8462
8.7943 -2.5405 7.7065
Tm Co Bi
8 2 4
Direct
0.0000 0.6217 0.8109
0.0000 0.3783 0.1891
0.0000 0.1217 0.6891
0.0000 0.8783 0.3109
0.5000 0.7939 0.5588
0.5000 0.2061 0.4412
0.5000 0.7061 0.0588
0.5000 0.2939 0.9412
0.0000 0.0000 0.5000
0.0000 0.5000 0.0000
0.5000 0.9200 0.8304
0.5000 0.0800 0.1696
0.5000 0.4200 0.6696
0.5000 0.5800 0.3304
```

Output
calculated density	9.58	Mg/m³
total moment	0.00	μB/cell
D(E_F)	0.683	states/eV/atom

In terms of stability, run B leads; the second structure lies 0.027 eV/atom higher.

Run A
Density functional theory data (PBE) for V2Co2Bi after structural relaxation.

Cell and atoms, written as POSCAR:
```
V2Co2Bi
1.0
-2.9432 1.8512 -1.4319
0.4768 -1.7780 -3.2788
-4.5898 -3.9892 -0.6604
Co Bi V
2 1 2
Direct
0.7500 0.2500 0.5000
0.2500 0.7500 0.5000
0.0000 0.0000 0.0000
0.3754 0.3754 0.2492
0.6246 0.6246 0.7508
```

Output
calculated density	9.14	Mg/m³
total moment	0.00	μB/cell
D(E_F)	1.152	states/eV/atom

Run B
Density functional theory data (PBE) for V2Co2Bi after structural relaxation.

Cell and atoms, written as POSCAR:
```
V2Co2Bi
1.0
7.0404 0.0000 0.0000
0.0000 7.0404 0.0000
0.0000 0.0000 2.9700
Co Bi V
4 2 4
Direct
0.3742 0.8742 0.0000
0.8742 0.6258 0.0000
0.6258 0.1258 0.0000
0.1258 0.3742 0.0000
0.0000 0.0000 0.0000
0.5000 0.5000 0.0000
0.1519 0.6519 0.5000
0.6519 0.8481 0.5000
0.8481 0.3481 0.5000
0.3481 0.1519 0.5000
```

Output
calculated density	9.67	Mg/m³
total moment	0.02	μB/cell
D(E_F)	1.217	states/eV/atom

In terms of stability, run B leads; the second structure lies 0.085 eV/atom higher.

Run A
Density functional theory data (PBE) for VCoBi2 after structural relaxation.

Cell and atoms, written as POSCAR:
```
VCoBi2
1.0
-4.7318 -1.2369 -0.0770
-3.4375 3.4797 -0.0197
-2.6667 0.7806 -4.0255
Co Bi V
1 2 1
Direct
0.5000 0.5000 0.5000
0.2500 0.2500 0.2500
0.7500 0.7500 0.7500
0.0000 0.0000 0.0000
```

Output
calculated density	10.59	Mg/m³
total moment	4.47	μB/cell
D(E_F)	1.234	states/eV/atom

Run B
Density functional theory data (PBE) for VCoBi2 after structural relaxation.

Cell and atoms, written as POSCAR:
```
VCoBi2
1.0
-0.4385 -0.8379 7.4387
5.5567 -5.0293 -0.2390
4.6930 -0.5944 3.9891
Co Bi V
2 4 2
Direct
0.0000 0.0000 0.0000
0.7500 0.2500 0.5000
0.6624 0.1250 0.2500
0.0876 0.6250 0.2500
0.3750 0.3376 0.7500
0.8750 0.9124 0.7500
0.5000 0.5000 0.0000
0.2500 0.7500 0.5000
```

Output
calculated density	9.77	Mg/m³
total moment	6.93	μB/cell
D(E_F)	1.598	states/eV/atom

In terms of stability, run A leads; the second structure lies 0.147 eV/atom higher.

Run A
Density functional theory data (PBE) for CoBi2W after structural relaxation.

Cell and atoms, written as POSCAR:
```
CoBi2W
1.0
0.0897 -3.7820 -2.9920
-0.1408 -4.4828 1.7745
-3.9507 -2.7037 -0.5885
Co Bi W
1 2 1
Direct
0.0000 0.0000 0.0000
0.2500 0.2500 0.2500
0.7500 0.7500 0.7500
0.5000 0.5000 0.5000
```

Output
calculated density	13.83	Mg/m³
total moment	0.17	μB/cell
D(E_F)	0.974	states/eV/atom

Run B
Density functional theory data (PBE) for CoBi2W after structural relaxation.

Cell and atoms, written as POSCAR:
```
CoBi2W
1.0
-1.7023 3.5207 5.0455
-1.4235 -5.3184 3.2309
3.7389 -1.1323 6.0898
Co Bi W
2 4 2
Direct
0.5000 0.5000 0.0000
0.2500 0.7500 0.5000
0.5994 0.1250 0.2500
0.1506 0.6250 0.2500
0.3750 0.4006 0.7500
0.8750 0.8494 0.7500
0.0000 0.0000 0.0000
0.7500 0.2500 0.5000
```

Output
calculated density	9.52	Mg/m³
total moment	5.38	μB/cell
D(E_F)	1.353	states/eV/atom

In terms of stability, run A leads; the second structure lies 0.434 eV/atom higher.

Run A
Density functional theory data (PBE) for YCo2Bi2 after structural relaxation.

Cell and atoms, written as POSCAR:
```
YCo2Bi2
1.0
-2.9666 3.1908 -2.0995
-2.0993 -3.5829 -2.4790
-5.5951 -0.7807 1.1490
Y Co Bi
1 2 2
Direct
0.0000 0.0000 0.0000
0.3803 0.3803 0.2394
0.6197 0.6197 0.7606
0.7500 0.2500 0.5000
0.2500 0.7500 0.5000
```

Output
calculated density	9.56	Mg/m³
total moment	2.43	μB/cell
D(E_F)	0.760	states/eV/atom

Run B
Density functional theory data (PBE) for YCo2Bi2 after structural relaxation.

Cell and atoms, written as POSCAR:
```
YCo2Bi2
1.0
-3.8980 1.7464 0.9757
0.5361 -1.1469 4.1945
0.8100 5.2773 3.6277
Y Co Bi
1 2 2
Direct
0.0000 0.0000 0.0000
0.7500 0.2500 0.5000
0.2500 0.7500 0.5000
0.3657 0.3657 0.2686
0.6343 0.6343 0.7314
```

Output
calculated density	9.54	Mg/m³
total moment	1.68	μB/cell
D(E_F)	0.535	states/eV/atom

In terms of stability, run B leads; the second structure lies 0.007 eV/atom higher.

Run A
Density functional theory data (PBE) for ZnCo3Bi after structural relaxation.

Cell and atoms, written as POSCAR:
```
ZnCo3Bi
1.0
4.8258 0.0000 0.0000
0.0000 4.8258 0.0000
0.0000 0.0000 4.8258
Zn Co Bi
1 3 1
Direct
0.5000 0.5000 0.5000
0.0000 0.5000 0.0000
0.0000 0.0000 0.5000
0.5000 0.0000 0.0000
0.0000 0.0000 0.0000
```

Output
calculated density	6.67	Mg/m³
total moment	4.73	μB/cell
D(E_F)	4.412	states/eV/atom

Run B
Density functional theory data (PBE) for ZnCo3Bi after structural relaxation.

Cell and atoms, written as POSCAR:
```
ZnCo3Bi
1.0
-2.1427 3.4501 1.7318
1.3151 -1.2098 4.0373
3.6294 2.4752 -0.4405
Zn Co Bi
1 3 1
Direct
0.0000 0.0000 0.0000
0.0000 0.5000 0.0000
0.0000 0.0000 0.5000
0.5000 0.0000 0.0000
0.5000 0.5000 0.5000
```

Output
calculated density	8.71	Mg/m³
total moment	3.94	μB/cell
D(E_F)	2.707	states/eV/atom

In terms of stability, run B leads; the second structure lies 0.590 eV/atom higher.